Here is crystalline K6Hg at its relaxed geometry from the Alexandria database. Energies are from PBE.

## Properties
As for the formation energy from the elements: -0.028 eV/atom. The calculation puts the excess energy over the best structure of this formula in the dataset at 0.0 meV/atom. The space-group type is No. 166. Its total energy is -1.01 eV per atom. Its volume is 416.6 Å³ per cell.

Cell lengths 6.954, 6.954, 10.728 Å; angles 71.09, 71.09, 60.00 degrees
Positions (direct):
K 0.572 0.572 0.285
K 0.130 0.130 0.611
K 0.292 0.292 0.123
K 0.428 0.428 0.715
K 0.870 0.870 0.389
K 0.708 0.708 0.877
Hg 0.000 0.000 0.000

***

Here is crystalline ZrSiAg2 at its relaxed geometry from the Alexandria database. Energies are from PBE.

## Properties
For the formation energy (no corrections), the calculation gives -0.197 eV/atom. The space-group type is No. 123. Its total energy is -5.12 eV per atom. Its volume is 73.1 Å³ per cell.

Cell lengths 3.919, 3.919, 4.762 Å; angles 90.00, 90.00, 90.00 degrees
Positions (direct):
Ag 0.000 0.000 0.000
Ag 0.500 0.500 0.000
Zr 0.000 0.500 0.500
Si 0.500 0.000 0.500